This record from the Alexandria database describes a geometry-optimized GaFePO2 structure. The functional is PBE+U.

Calculated density in g/cm3: 4.282
Crystal system: tetragonal
Distance to the lowest polymorph of the same formula in meV/atom: 189
Uncorrected energy in eV per atom: -4.923

abc: 3.7406 3.7406 5.2259
angles: 90.00 90.00 90.00
Sites, in units of the cell vectors:
Ga  0.0000  0.0000  0.0000
Fe  0.5000  0.5000  0.5000
P  0.0000  0.0000  0.5000
O  0.0000  0.5000  0.0000
O  0.5000  0.0000  0.0000